An optimized crystal structure of Ti2AlZnH, computed with PBE.

```
Ti2AlZnH
1.0
3.953 0.000 0.000
0.000 3.953 0.000
0.000 0.000 4.156
Al H Ti Zn
1 1 2 1
Direct
0.500 0.500 0.500
0.000 0.000 0.000
0.000 0.500 0.000
0.500 0.000 0.000
0.000 0.000 0.500
```

Results
For the theoretical density, the calculation gives 4.8 g/cm³. The magnetic moment comes out at 0.00 μB/cell. The distance to the lowest polymorph of the same formula comes out at 0.0 meV per atom.

***

An optimized crystal structure of KSr3Br, computed with PBE.

```
KSr3Br
1.0
6.468 0.000 0.000
0.000 6.468 0.000
0.000 0.000 6.468
K Sr Br
1 3 1
Direct
0.500 0.500 0.500
0.000 0.500 0.000
0.500 0.000 0.000
0.000 0.000 0.500
0.000 0.000 0.000
```

Results
Its formation energy from raw total energies is -0.374 eV per atom. For the theoretical density, the calculation gives 2.3 g/cm³. The magnetic moment comes out at 0.00 μB/cell. The distance to the lowest polymorph of the same formula comes out at 0.0 meV per atom.

***

An optimized crystal structure of DyEr14Th, computed with PBE.

```
DyEr14Th
1.0
-6.180 3.286 -0.941
0.249 -6.081 3.583
1.593 5.766 9.674
Er Dy Th
14 1 1
Direct
0.378 0.127 0.751
0.378 0.127 0.249
0.873 0.622 0.751
0.042 0.459 0.000
0.541 0.958 0.000
0.708 0.792 0.500
0.873 0.127 0.751
0.375 0.625 0.248
0.375 0.625 0.752
0.873 0.622 0.249
0.208 0.292 0.500
0.042 0.958 0.000
0.873 0.127 0.249
0.541 0.459 0.000
0.208 0.792 0.500
0.708 0.292 0.500
```

Results
The formation enthalpy at 0 K is 0.012 eV per atom. For the theoretical density, the calculation gives 9.2 g/cm³. The magnetic moment comes out at 0.00 μB/cell.

***

An optimized crystal structure of KZn2Ni, computed with PBE.

```
KZn2Ni
1.0
-0.374 -1.649 2.285
-0.945 -4.096 -3.111
4.133 -4.853 -2.826
Zn K Ni
2 1 1
Direct
0.500 0.500 0.000
0.000 0.000 0.000
0.500 0.500 0.500
0.000 0.000 0.500
```

Results
The formation enthalpy at 0 K is 0.579 eV per atom. For the theoretical density, the calculation gives 5.0 g/cm³. The magnetic moment comes out at 0.00 μB/cell. The distance to the lowest polymorph of the same formula comes out at 579.6 meV per atom.

***

An optimized crystal structure of Ho5Er6Tl, computed with PBE.

```
Ho5Er6Tl
1.0
11.484 -1.271 0.000
1.707 5.793 0.000
0.854 2.897 5.234
Er Ho Tl
6 5 1
Direct
0.248 0.587 0.330
0.752 0.413 0.670
0.248 0.918 0.670
0.249 0.248 0.000
0.751 0.752 0.000
0.752 0.082 0.330
0.500 0.833 0.333
0.500 0.167 0.667
0.500 0.500 0.000
0.000 0.666 0.668
0.000 0.334 0.332
0.000 0.000 0.000
```

Results
The formation enthalpy at 0 K is -0.012 eV per atom. For the theoretical density, the calculation gives 9.4 g/cm³. The magnetic moment comes out at 0.00 μB/cell.

***

An optimized crystal structure of Cd2Pd2Au5, computed with PBE.

```
Cd2Pd2Au5
1.0
4.832 -1.429 -0.224
-2.897 8.184 -1.502
0.589 -1.534 4.809
Au Pd Cd
5 2 2
Direct
0.454 0.890 0.665
0.783 0.560 0.670
0.217 0.440 0.330
0.546 0.110 0.335
0.000 0.000 0.000
0.894 0.777 0.334
0.106 0.223 0.666
0.344 0.668 0.006
0.656 0.332 0.994
```

Results
The formation enthalpy at 0 K is -0.183 eV per atom. For the theoretical density, the calculation gives 14.7 g/cm³. The magnetic moment comes out at 0.00 μB/cell. The distance to the lowest polymorph of the same formula comes out at 0.0 meV per atom.

***

An optimized crystal structure of Na2TiBeTe, computed with PBE.

```
Na2TiBeTe
1.0
-3.383 2.054 -4.281
-1.363 -4.332 -1.001
-4.430 0.526 3.753
Be Ti Na Te
1 1 2 1
Direct
0.000 0.500 0.000
0.500 0.500 0.500
0.500 0.000 0.000
0.000 0.000 0.500
0.000 0.000 0.000
```

Results
Its formation energy from raw total energies is 0.950 eV per atom. For the theoretical density, the calculation gives 2.4 g/cm³. The magnetic moment comes out at 0.05 μB/cell.

***

An optimized crystal structure of NaAsPtBr2, computed with PBE.

```
NaAsPtBr2
1.0
-4.713 1.836 0.066
-0.797 -2.209 4.480
1.852 4.659 2.627
Br As Pt Na
2 1 1 1
Direct
0.500 0.000 0.000
0.000 0.500 0.000
0.000 0.000 0.500
0.500 0.500 0.500
0.000 0.000 0.000
```

Results
Its formation energy from raw total energies is 0.867 eV per atom. For the theoretical density, the calculation gives 5.2 g/cm³. The magnetic moment comes out at 2.49 μB/cell. The distance to the lowest polymorph of the same formula comes out at 1136.5 meV per atom.

***

An optimized crystal structure of Th2ZnAu4, computed with PBE.

```
Th2ZnAu4
1.0
5.827 0.000 -0.728
0.000 6.191 0.000
-2.912 0.000 9.123
Th Au Zn
4 8 2
Direct
0.732 0.750 0.030
0.268 0.250 0.970
0.272 0.250 0.415
0.728 0.750 0.585
0.688 0.027 0.295
0.688 0.473 0.295
0.312 0.973 0.705
0.122 0.750 0.408
0.868 0.250 0.090
0.312 0.527 0.705
0.878 0.250 0.592
0.132 0.750 0.910
0.321 0.750 0.212
0.679 0.250 0.788
```

Results
The formation enthalpy at 0 K is -0.569 eV per atom. For the theoretical density, the calculation gives 13.8 g/cm³. The magnetic moment comes out at 0.00 μB/cell.

***

An optimized crystal structure of La8Er2Tm, computed with PBE.

```
La8Er2Tm
1.0
5.008 0.000 -1.424
-0.474 8.041 -1.666
0.043 -0.517 9.668
La Er Tm
8 2 1
Direct
0.318 0.087 0.637
0.137 0.186 0.274
0.682 0.913 0.363
0.953 0.272 0.906
0.592 0.453 0.184
0.047 0.728 0.094
0.408 0.547 0.816
0.863 0.814 0.726
0.227 0.634 0.453
0.773 0.366 0.547
0.500 0.000 0.000
```

Results
The formation enthalpy at 0 K is 0.023 eV per atom. For the theoretical density, the calculation gives 7.0 g/cm³. The magnetic moment comes out at 0.00 μB/cell. The distance to the lowest polymorph of the same formula comes out at 0.0 meV per atom.

***

An optimized crystal structure of B2AsS, computed with PBE.

```
B2AsS
1.0
4.650 0.000 0.000
0.000 4.650 0.000
2.325 2.325 4.674
As B S
2 4 2
Direct
0.750 0.250 0.500
0.000 0.000 0.000
0.375 0.394 0.750
0.606 0.125 0.250
0.144 0.625 0.250
0.875 0.856 0.750
0.250 0.750 0.500
0.500 0.500 0.000
```

Results
Its formation energy from raw total energies is 0.344 eV per atom. For the theoretical density, the calculation gives 4.2 g/cm³. The magnetic moment comes out at 0.00 μB/cell. The distance to the lowest polymorph of the same formula comes out at 0.0 meV per atom.